1.
Computed, not measured: crystalline TbTmTlPd2 at its relaxed geometry at the PBE-GGA level of DFT.

```
data_TbTmTlPd2
_cell_length_a 3.642
_cell_length_b 4.115
_cell_length_c 15.046
_cell_angle_alpha 90.00
_cell_angle_beta 90.00
_cell_angle_gamma 90.00
_symmetry_space_group_name_H-M 'A m m 2'
_symmetry_Int_Tables_number 38
loop_
_symmetry_equiv_pos_as_xyz
'x,y,z'
'-x,-y,z'
'-x,y,z'
'x,-y,z'
'x,y+1/2,z+1/2'
'-x,-y+1/2,z+1/2'
'-x,y+1/2,z+1/2'
'x,-y+1/2,z+1/2'
loop_
_atom_site_label
_atom_site_type_symbol
_atom_site_fract_x
_atom_site_fract_y
_atom_site_fract_z
Tb1 Tb 0.000 0.000 0.000
Tm1 Tm 0.000 0.000 0.269
Tl1 Tl 0.500 0.000 0.634
Pd1 Pd 0.500 0.000 0.442
Pd2 Pd 0.500 0.000 0.823
```

VASP energy = -5.1330 eV per atom


2.
Computed, not measured: crystalline TaInAgTe3 at its relaxed geometry at the PBE-GGA level of DFT.

```
data_TaInAgTe3
_cell_length_a 3.911
_cell_length_b 15.314
_cell_length_c 10.789
_cell_angle_alpha 90.00
_cell_angle_beta 90.00
_cell_angle_gamma 90.00
_symmetry_space_group_name_H-M 'C m c m'
_symmetry_Int_Tables_number 63
_symmetry_space_group_name_Hall '-C 2c 2'
loop_
_atom_site_label
_atom_site_type_symbol
_atom_site_fract_x
_atom_site_fract_y
_atom_site_fract_z
Ta1 Ta 0.000 0.000 0.000
In1 In 0.000 0.236 0.250
Ag1 Ag 0.000 0.454 0.750
Te1 Te 0.000 0.082 0.750
Te2 Te 0.000 0.366 0.531
```

VASP energy = -4.5554 eV per atom


3.
Computed, not measured: crystalline TmCd3Pd4O12 at its relaxed geometry at the PBE-GGA level of DFT.

```
data_TmCd3Pd4O12
_cell_length_a 7.746
_cell_length_b 7.746
_cell_length_c 7.746
_cell_angle_alpha 90.00
_cell_angle_beta 90.00
_cell_angle_gamma 90.00
_symmetry_space_group_name_H-M 'I m -3'
_symmetry_Int_Tables_number 204
_symmetry_space_group_name_Hall '-I 2 2 3'
loop_
_atom_site_label
_atom_site_type_symbol
_atom_site_fract_x
_atom_site_fract_y
_atom_site_fract_z
Tm1 Tm 0.000 0.000 0.000
Cd1 Cd 0.000 0.000 0.500
Pd1 Pd 0.250 0.250 0.250
O1 O 0.000 0.177 0.278
```

VASP energy = -5.2462 eV per atom